An optimized crystal structure of CuAgHg. Source: Alexandria, functional PBE.

a b c (Å): 4.186 4.206 6.341
angles (deg): 90.00 110.21 90.00
Fractional positions:
Hg (0.598, 0.250, 0.201)
Ag (0.090, 0.750, 0.185)
Hg (0.402, 0.750, 0.799)
Cu (0.252, 0.250, 0.499)
Ag (0.910, 0.250, 0.815)
Cu (0.748, 0.750, 0.501)

## Properties
Energy relative to the elements in eV per formula unit: 0.39
N(E_F) in states/eV/cell: 2.26